A relaxed Ir3Rh crystal, computed with GGA-PBE. Values from VASP.

For the formation enthalpy at 0 K, the calculation gives 0.5204 eV per atom.

```
&SYSTEM
  ibrav = 0, nat = 4, ntyp = 2
/
ATOMIC_SPECIES
Ir 192.22 Ir.upf
Rh 102.91 Rh.upf
CELL_PARAMETERS angstrom
-3.0174 -0.5264 3.1519
-3.9308 -1.7023 -0.9832
-1.0540 -4.0371 1.3809
ATOMIC_POSITIONS crystal
Ir 0.2500 0.2500 0.2500
Ir 0.7500 0.7500 0.7500
Ir 0.0000 0.0000 0.0000
Rh 0.5000 0.5000 0.5000
```

A relaxed Ir4Rh3 crystal, computed with GGA-PBE. Values from VASP.

Its energy above the most stable polymorph in this dataset is 0 meV per atom. For the formation enthalpy at 0 K, the calculation gives -0.0147 eV per atom.

```
&SYSTEM
  ibrav = 0, nat = 7, ntyp = 2
/
ATOMIC_SPECIES
Ir 192.22 Ir.upf
Rh 102.91 Rh.upf
CELL_PARAMETERS angstrom
-0.5048 2.2951 -1.3907
0.9074 -1.1857 -2.2863
-12.6862 -4.9289 -0.8482
ATOMIC_POSITIONS crystal
Ir 0.4276 0.4276 0.8553
Ir 0.8575 0.8575 0.7150
Rh 0.2863 0.2863 0.5725
Ir 0.1425 0.1425 0.2850
Rh 0.0000 0.0000 0.0000
Rh 0.7137 0.7137 0.4275
Ir 0.5724 0.5724 0.1447
```

A relaxed Ir3Rh4 crystal, computed with GGA-PBE. Values from VASP.

Its energy above the most stable polymorph in this dataset is 102 meV per atom. For the formation enthalpy at 0 K, the calculation gives 0.2616 eV per atom.

```
&SYSTEM
  ibrav = 0, nat = 7, ntyp = 2
/
ATOMIC_SPECIES
Rh 102.91 Rh.upf
Ir 192.22 Ir.upf
CELL_PARAMETERS angstrom
-1.6570 1.6570 9.3878
1.6570 -1.6570 9.3878
1.6570 1.6570 -9.3878
ATOMIC_POSITIONS crystal
Rh 0.1434 0.1434 0.0000
Rh 0.5706 0.5706 0.0000
Rh 0.8566 0.8566 0.0000
Rh 0.4294 0.4294 0.0000
Ir 0.7153 0.7153 0.0000
Ir 0.2847 0.2847 0.0000
Ir 0.0000 0.0000 0.0000
```

A relaxed Ir5Rh3 crystal, computed with GGA-PBE. Values from VASP.

Its energy above the most stable polymorph in this dataset is 468 meV per atom. For the formation enthalpy at 0 K, the calculation gives 0.4558 eV per atom.

```
&SYSTEM
  ibrav = 0, nat = 16, ntyp = 2
/
ATOMIC_SPECIES
Rh 102.91 Rh.upf
Ir 192.22 Ir.upf
CELL_PARAMETERS angstrom
-6.1037 4.2029 -1.9882
-0.7437 -7.5542 1.1218
-0.9712 0.7847 4.6403
ATOMIC_POSITIONS crystal
Rh 0.3968 0.0000 0.7500
Rh 0.0000 0.3968 0.7500
Ir 0.7992 0.7992 0.2500
Ir 0.3333 0.6667 0.0000
Ir 0.6667 0.3333 0.5000
Ir 0.3333 0.6667 0.5000
Ir 0.2008 0.2008 0.7500
Ir 0.2008 0.0000 0.2500
Rh 0.0000 0.6032 0.2500
Rh 0.3968 0.3968 0.2500
Ir 0.0000 0.7992 0.7500
Rh 0.6032 0.0000 0.2500
Ir 0.0000 0.2008 0.2500
Ir 0.7992 0.0000 0.7500
Rh 0.6032 0.6032 0.7500
Ir 0.6667 0.3333 0.0000
```

A relaxed Ir5Rh crystal, computed with GGA-PBE. Values from VASP.

For the formation enthalpy at 0 K, the calculation gives 0.6751 eV per atom.

```
&SYSTEM
  ibrav = 0, nat = 6, ntyp = 2
/
ATOMIC_SPECIES
Ir 192.22 Ir.upf
Rh 102.91 Rh.upf
CELL_PARAMETERS angstrom
-4.4266 -2.4770 0.6196
-4.3542 2.6308 0.4831
-3.4484 -0.0519 -3.7709
ATOMIC_POSITIONS crystal
Ir 0.3751 0.3751 0.3751
Ir 0.8748 0.3751 0.3751
Ir 0.3751 0.3751 0.8748
Rh 0.0000 0.0000 0.0000
Ir 0.7500 0.7500 0.7500
Ir 0.3751 0.8748 0.3751
```

A relaxed Ir3Rh crystal, computed with GGA-PBE. Values from VASP.

For the formation enthalpy at 0 K, the calculation gives 0.4864 eV per atom.

```
&SYSTEM
  ibrav = 0, nat = 8, ntyp = 2
/
ATOMIC_SPECIES
Rh 102.91 Rh.upf
Ir 192.22 Ir.upf
CELL_PARAMETERS angstrom
4.9376 0.0000 0.0000
0.0000 4.9376 0.0000
0.0000 0.0000 4.9376
ATOMIC_POSITIONS crystal
Rh 0.0000 0.0000 0.0000
Rh 0.5000 0.5000 0.5000
Ir 0.2500 0.5000 0.0000
Ir 0.0000 0.7500 0.5000
Ir 0.0000 0.2500 0.5000
Ir 0.7500 0.5000 0.0000
Ir 0.5000 0.0000 0.2500
Ir 0.5000 0.0000 0.7500
```

A relaxed Ir3Rh crystal, computed with GGA-PBE. Values from VASP.

For the formation enthalpy at 0 K, the calculation gives 0.0621 eV per atom.

```
&SYSTEM
  ibrav = 0, nat = 4, ntyp = 2
/
ATOMIC_SPECIES
Ir 192.22 Ir.upf
Rh 102.91 Rh.upf
CELL_PARAMETERS angstrom
2.7438 0.0000 0.0000
0.0000 4.4551 0.0000
0.0000 0.0000 4.7454
ATOMIC_POSITIONS crystal
Ir 0.5000 0.0000 0.5009
Rh 0.0000 0.5000 0.3320
Ir 0.5000 0.5000 0.8328
Ir 0.0000 0.0000 0.0010
```

A relaxed Ir3Rh crystal, computed with GGA-PBE. Values from VASP.

For the formation enthalpy at 0 K, the calculation gives 0.0641 eV per atom.

```
&SYSTEM
  ibrav = 0, nat = 8, ntyp = 2
/
ATOMIC_SPECIES
Ir 192.22 Ir.upf
Rh 102.91 Rh.upf
CELL_PARAMETERS angstrom
-2.8555 -3.5608 -3.0112
4.4185 2.4369 -2.1068
2.5678 -3.3432 1.5183
ATOMIC_POSITIONS crystal
Ir 0.3337 0.1669 0.2500
Ir 0.8331 0.6663 0.2500
Ir 0.8331 0.1669 0.2500
Ir 0.6663 0.8331 0.7500
Rh 0.6667 0.3333 0.7500
Rh 0.3333 0.6667 0.2500
Ir 0.1669 0.8331 0.7500
Ir 0.1669 0.3337 0.7500
```

A relaxed Ir2Rh3 crystal, computed with GGA-PBE. Values from VASP.

Its energy above the most stable polymorph in this dataset is 0 meV per atom. For the formation enthalpy at 0 K, the calculation gives -0.0122 eV per atom.

```
&SYSTEM
  ibrav = 0, nat = 10, ntyp = 2
/
ATOMIC_SPECIES
Rh 102.91 Rh.upf
Ir 192.22 Ir.upf
CELL_PARAMETERS angstrom
3.8515 0.0000 0.0000
0.0000 6.0928 0.0982
0.0000 -0.1002 6.0967
ATOMIC_POSITIONS crystal
Rh 0.2500 0.5516 0.1486
Rh 0.7500 0.4484 0.8514
Ir 0.2500 0.9520 0.3523
Rh 0.2500 0.3491 0.5506
Rh 0.7500 0.6509 0.4494
Ir 0.7500 0.0480 0.6477
Rh 0.7500 0.8522 0.0478
Ir 0.7500 0.2494 0.2526
Ir 0.2500 0.7506 0.7474
Rh 0.2500 0.1478 0.9522
```

A relaxed Ir6Rh7 crystal, computed with GGA-PBE. Values from VASP.

For the formation enthalpy at 0 K, the calculation gives 0.4699 eV per atom.

```
&SYSTEM
  ibrav = 0, nat = 13, ntyp = 2
/
ATOMIC_SPECIES
Ir 192.22 Ir.upf
Rh 102.91 Rh.upf
CELL_PARAMETERS angstrom
-6.0547 -1.8996 6.7503
-8.6682 -2.1897 2.4292
-5.7942 -6.0789 3.9126
ATOMIC_POSITIONS crystal
Ir 0.3343 0.3343 0.3343
Rh 0.5871 0.0836 0.5871
Ir 0.9521 0.9521 0.9521
Rh 0.4129 0.9164 0.4129
Ir 0.1571 0.1571 0.1571
Rh 0.4129 0.4129 0.9164
Ir 0.8429 0.8429 0.8429
Rh 0.0836 0.5871 0.5871
Rh 0.5871 0.5871 0.0836
Rh 0.5000 0.5000 0.5000
Rh 0.9164 0.4129 0.4129
Ir 0.0479 0.0479 0.0479
Ir 0.6657 0.6657 0.6657
```

A relaxed IrRh crystal, computed with GGA-PBE. Values from VASP.

For the formation enthalpy at 0 K, the calculation gives 0.9393 eV per atom.

```
&SYSTEM
  ibrav = 0, nat = 2, ntyp = 2
/
ATOMIC_SPECIES
Rh 102.91 Rh.upf
Ir 192.22 Ir.upf
CELL_PARAMETERS angstrom
2.7740 -0.8087 2.1768
-0.6097 -0.8848 3.4545
0.4953 -3.4077 1.1090
ATOMIC_POSITIONS crystal
Rh 0.5000 0.5000 0.5000
Ir 0.0000 0.0000 0.0000
```

A relaxed Ir5Rh crystal, computed with GGA-PBE. Values from VASP.

For the formation enthalpy at 0 K, the calculation gives 0.0636 eV per atom.

```
&SYSTEM
  ibrav = 0, nat = 6, ntyp = 2
/
ATOMIC_SPECIES
Ir 192.22 Ir.upf
Rh 102.91 Rh.upf
CELL_PARAMETERS angstrom
4.7512 0.0000 0.0000
-2.3756 4.1147 0.0000
0.0000 0.0000 4.4641
ATOMIC_POSITIONS crystal
Ir 0.6667 0.6667 0.5000
Rh 0.3333 0.0000 0.5000
Ir 0.3333 0.6630 0.0000
Ir 0.6703 0.3370 0.0000
Ir 0.0000 0.3333 0.5000
Ir 0.9963 0.0000 0.0000
```